# Pr3Ho12Pu (GGA-PBE, optimized geometry)
data_Pr3Ho12Pu
_symmetry_space_group_name_H-M 'P 1'
_symmetry_Int_Tables_number 1
_symmetry_space_group_name_Hall 'P 1'
_cell_length_a 5.0282
_cell_length_b 5.0282
_cell_length_c 20.0561
_cell_angle_alpha 90.00
_cell_angle_beta 90.00
_cell_angle_gamma 90.00
loop_
_atom_site_label
_atom_site_type_symbol
_atom_site_fract_x
_atom_site_fract_y
_atom_site_fract_z
Ho1 Ho 0.0000 0.5000 0.6269
Ho2 Ho 0.0000 0.5000 0.8805
Ho3 Ho 0.5000 0.5000 0.5000
Ho4 Ho 0.5000 0.0000 0.3731
Ho5 Ho 0.5000 0.0000 0.8805
Ho6 Ho 0.5000 0.0000 0.6269
Ho7 Ho 0.5000 0.5000 0.7530
Ho8 Ho 0.0000 0.5000 0.3731
Ho9 Ho 0.5000 0.0000 0.1195
Ho10 Ho 0.5000 0.5000 0.0000
Ho11 Ho 0.0000 0.5000 0.1195
Ho12 Ho 0.5000 0.5000 0.2470
Pr1 Pr 0.0000 0.0000 0.5000
Pr2 Pr 0.0000 0.0000 0.7530
Pr3 Pr 0.0000 0.0000 0.2470
Pu1 Pu 0.0000 0.0000 0.0000
# calculated formation energy	0.046	eV per atom
# space group	P4/mmm
# E_tot	-5.179	eV/atom

# PrHoPu2 (GGA-PBE, optimized geometry)
data_PrHoPu2
_symmetry_space_group_name_H-M 'P 1'
_symmetry_Int_Tables_number 1
_symmetry_space_group_name_Hall 'P 1'
_cell_length_a 5.0591
_cell_length_b 4.8774
_cell_length_c 4.8774
_cell_angle_alpha 90.00
_cell_angle_beta 90.00
_cell_angle_gamma 90.00
loop_
_atom_site_label
_atom_site_type_symbol
_atom_site_fract_x
_atom_site_fract_y
_atom_site_fract_z
Pu1 Pu 0.0000 0.0000 0.5000
Pu2 Pu 0.0000 0.5000 0.0000
Pr1 Pr 0.5000 0.5000 0.5000
Ho1 Ho 0.5000 0.0000 0.0000
# calculated formation energy	0.214	eV per atom
# space group	P4/mmm
# E_tot	-9.291	eV/atom